No. 1
Entry from Alexandria via LeMat-Bulk: a relaxed TaIn2Sb crystal (PBE-GGA).

Cell: 14.9807 3.0238 4.7660 Å, 90.00 108.38 90.00°
Last column: nearest neighbours and their distance in Å.
Element x y z (fractional)
Ta1 0.0000 0.0000 0.0000  4 Sb 2.82, 2 Ta 3.02, 4 In 3.09
Ta2 0.5000 0.5000 0.0000  4 Sb 2.82, 2 Ta 3.02, 4 In 3.09
In1 0.1896 0.5000 0.1905  6 In 3.02-3.31, 2 Ta 3.09
In2 0.3104 0.0000 0.8095  6 In 3.02-3.31, 2 Ta 3.09
In3 0.6896 0.0000 0.1905  6 In 3.02-3.31, 2 Ta 3.09
In4 0.8104 0.5000 0.8095  6 In 3.02-3.31, 2 Ta 3.09
Sb1 0.0000 0.5000 0.5000  4 Ta 2.82, 2 Sb 3.02
Sb2 0.5000 0.0000 0.5000  4 Ta 2.82, 2 Sb 3.02

Values from the calculation:
- density (kg/m3) = 8629
- formation energy without anion corrections (eV per atom) = 0.241



No. 2
Entry from Alexandria via LeMat-Bulk: a relaxed K3CuCl4 crystal (PBE-GGA).

Cell: 10.2271 8.2278 6.3789 Å, 90.00 90.00 90.00°
Last column: nearest neighbours and their distance in Å.
Element x y z (fractional)
K1 0.0000 0.1180 0.0000  5 Cl 2.97-3.26
K2 0.2276 0.3323 0.5041  4 Cl 2.91-3.19
K3 0.2724 0.6677 0.0041  4 Cl 2.91-3.19
K4 0.5000 0.8820 0.5000  5 Cl 2.97-3.26
K5 0.7276 0.6677 0.0041  4 Cl 2.91-3.19
K6 0.7724 0.3323 0.5041  4 Cl 2.91-3.19
Cu1 0.0000 0.7983 0.4274  4 Cl 2.36-2.47
Cu2 0.5000 0.2017 0.9274  4 Cl 2.36-2.47
Cl1 0.0000 0.0933 0.5027  1 Cu 2.47
Cl2 0.0000 0.7606 0.0606  1 Cu 2.36
Cl3 0.2145 0.7074 0.5155  1 Cu 2.38
Cl4 0.2855 0.2926 0.0155  1 Cu 2.38
Cl5 0.5000 0.2394 0.5606  1 Cu 2.36
Cl6 0.5000 0.9067 0.0027  1 Cu 2.47
Cl7 0.7145 0.2926 0.0155  1 Cu 2.38
Cl8 0.7855 0.7074 0.5155  1 Cu 2.38

Values from the calculation:
- excess energy over the best structure of this formula in the dataset (meV per atom) = 27.5
- density (kg/m3) = 1996
- formation energy without anion corrections (eV per atom) = -1.494



No. 3
Entry from Alexandria via LeMat-Bulk: a relaxed Cu2SbAu crystal (PBE-GGA).

Cell: 3.5053 3.5053 20.7951 Å, 90.00 90.00 120.00°
Last column: nearest neighbours and their distance in Å.
Element x y z (fractional)
Cu1 0.0000 0.0000 0.2470  3 Au 2.62, 3 Sb 2.70-2.71
Cu2 0.0000 0.0000 0.7530  3 Au 2.62, 3 Sb 2.70-2.71
Cu3 0.3333 0.6667 0.4196  3 Au 2.62, 3 Sb 2.70-2.71
Cu4 0.3333 0.6667 0.9137  3 Au 2.62, 3 Sb 2.70-2.71
Cu5 0.6667 0.3333 0.0863  3 Au 2.62, 3 Sb 2.70-2.71
Cu6 0.6667 0.3333 0.5804  3 Au 2.62, 3 Sb 2.70-2.71
Sb1 0.0000 0.0000 0.0000  6 Cu 2.70-2.71
Sb2 0.3333 0.6667 0.6667  6 Cu 2.70-2.71
Sb3 0.6667 0.3333 0.3333  6 Cu 2.70-2.71
Au1 0.0000 0.0000 0.5000  6 Cu 2.62
Au2 0.3333 0.6667 0.1667  6 Cu 2.62
Au3 0.6667 0.3333 0.8333  6 Cu 2.62

Values from the calculation:
- density (kg/m3) = 10037
- formation energy without anion corrections (eV per atom) = 0.181